No. 1
Material: NdEr3Cd4
Method: DFT, GGA-PBE
State: relaxed

- energy of formation from the pure elements (eV/atom) = -0.31
- raw total energy (eV per atom) = -3.075

```
NdEr3Cd4
1.0
5.262 0.000 0.000
0.000 5.262 0.000
0.000 0.000 7.623
Nd Er Cd
1 3 4
Direct
0.000 0.000 0.000
0.000 0.000 0.500
0.500 0.500 0.000
0.500 0.500 0.500
0.000 0.500 0.260
0.000 0.500 0.740
0.500 0.000 0.260
0.500 0.000 0.740
```

=====

No. 2
Material: TaMnRh6
Method: DFT, GGA-PBE
State: relaxed

- energy of formation from the pure elements (eV/atom) = -0.35
- raw total energy (eV per atom) = -8.494

```
TaMnRh6
1.0
5.471 0.000 0.000
0.000 5.471 0.000
0.000 0.000 3.854
Ta Mn Rh
1 1 6
Direct
0.000 0.000 0.000
0.500 0.500 0.000
0.000 0.500 0.000
0.252 0.252 0.500
0.252 0.748 0.500
0.500 0.000 0.000
0.748 0.252 0.500
0.748 0.748 0.500
```